No. 1
{"formula": "In3Cu8Sn", "functional": "GGA-PBE", "state": "optimized geometry", "polymorph_energy_ev_per_fu": 0.30, "crystal_system": "trigonal", "magnetic_moment_mub_per_fu": 0.00, "lattice": [[-2.1663, 1.3264, -4.3549], [-2.5781, -2.7188, 3.3732], [-2.8487, 7.1680, 3.6003]], "species": ["In", "In", "In", "Cu", "Cu", "Cu", "Cu", "Cu", "Cu", "Cu", "Cu", "Sn"], "frac_coords": [[0.6667, 0.3333, 0.4278], [0.6667, 0.3333, 0.0569], [0.0000, 0.0000, 0.9465], [0.3333, 0.6667, 0.4998], [0.3333, 0.6667, 0.0000], [0.5004, 0.0008, 0.7522], [0.5004, 0.4996, 0.7522], [0.9992, 0.4996, 0.7522], [0.1665, 0.3330, 0.2487], [0.1665, 0.8335, 0.2487], [0.6670, 0.8335, 0.2487], [0.0000, 0.0000, 0.5663]]}

***

No. 2
{"formula": "In2CuSn", "functional": "GGA-PBE", "state": "optimized geometry", "polymorph_energy_ev_per_fu": 0.11, "crystal_system": "trigonal", "magnetic_moment_mub_per_fu": 0.00, "lattice": [[-0.4394, -0.5827, 4.3486], [2.5730, -2.8948, 2.1076], [4.6272, 3.0170, 3.1073]], "species": ["In", "In", "Cu", "Sn"], "frac_coords": [[0.0627, 0.0627, 0.8120], [0.2739, 0.2739, 0.1784], [0.6616, 0.6616, 0.0152], [0.5019, 0.5019, 0.4943]]}